(1)
Here is LaTaOs2 after structural relaxation from Alexandria via LeMat-Bulk. Energies are from GGA-PBE.

Calculated values
Calculated total energy: -9.2036 eV per atom
ΔE_f: 2.42 eV per formula unit
Crystal system: monoclinic

a = 4.868 Å, b = 3.085 Å, c = 5.579 Å
α = 90.00°, β = 112.90°, γ = 90.00°
Space group P2/m (No. 10)
One atom of each set of equivalent atoms:
La (0.000, 0.000, 0.000)
Ta (0.500, 0.500, 0.500)
Os (0.000, 0.000, 0.500)
Os (0.500, 0.500, 0.000)

=====

(2)
Here is HoTmTlRh after structural relaxation from Alexandria via LeMat-Bulk. Energies are from GGA-PBE.

Calculated values
Calculated total energy: -5.2092 eV per atom
ΔE_f: -2.07 eV per formula unit
Crystal system: cubic

a = 7.169 Å, b = 7.169 Å, c = 7.169 Å
α = 90.00°, β = 90.00°, γ = 90.00°
Space group F-43m (No. 216)
One atom of each set of equivalent atoms:
Ho (0.000, 0.000, 0.000)
Tm (0.000, 0.000, 0.500)
Tl (0.250, 0.250, 0.750)
Rh (0.250, 0.250, 0.250)

=====

(3)
Here is Dy2Ho2Pd after structural relaxation from Alexandria via LeMat-Bulk. Energies are from GGA-PBE.

Calculated values
Calculated total energy: -4.9668 eV per atom
ΔE_f: -1.28 eV per formula unit
Crystal system: monoclinic

a = 7.597 Å, b = 11.706 Å, c = 7.451 Å
α = 90.00°, β = 117.54°, γ = 90.00°
Space group C2/m (No. 12)
One atom of each set of equivalent atoms:
Dy (0.240, 0.000, 0.116)
Dy (0.245, 0.500, 0.393)
Ho (0.032, 0.217, 0.750)
Pd (0.000, 0.378, 0.000)

=====

(4)
Here is ReSbTe3 after structural relaxation from Alexandria via LeMat-Bulk. Energies are from GGA-PBE.

Calculated values
Calculated total energy: -4.5180 eV per atom
Crystal system: cubic
Energy relative to the elements, uncorrected: 0.681 eV/atom

a = 5.237 Å, b = 5.237 Å, c = 5.237 Å
α = 90.00°, β = 90.00°, γ = 90.00°
Space group Pm-3m (No. 221)
One atom of each set of equivalent atoms:
Re (0.000, 0.000, 0.000)
Sb (0.500, 0.500, 0.500)
Te (0.000, 0.000, 0.500)

=====

Magnetic moment for the records above, in order: 0.0; 0.0; 0.0; 0.0 μB/cell